# Tb3CeIn (GGA-PBE, optimized geometry)
data_Tb3CeIn
_chemical_formula_sum 'Tb6 Ce2 In2'
_cell_length_a 12.601
_cell_length_b 12.601
_cell_length_c 4.881
_cell_angle_alpha 90.00
_cell_angle_beta 90.00
_cell_angle_gamma 157.64
_symmetry_space_group_name_H-M 'P 1'
_symmetry_Int_Tables_number 1
loop_
_symmetry_equiv_pos_as_xyz
'x,y,z'
loop_
_atom_site_label
_atom_site_fract_x
_atom_site_fract_y
_atom_site_fract_z
Tb1 0.050 0.950 0.750
Tb2 0.250 0.750 0.750
Tb3 0.446 0.554 0.750
Tb4 0.554 0.446 0.250
Tb5 0.750 0.250 0.250
Tb6 0.950 0.050 0.250
Ce1 0.149 0.851 0.250
Ce2 0.851 0.149 0.750
In1 0.347 0.653 0.250
In2 0.653 0.347 0.750
# - energy above the most stable polymorph in this dataset (meV/atom) = 0
# - calculated formation energy (meV/atom) = -123
# - crystal system = orthorhombic
# - space group = Cmcm
# - size of the total moment (μB/atom) = 0.272